SnHgSe2: optimized geometry, GGA-PBE.

Cell: 3.8512 3.8512 33.1265 Å, 90.00 90.00 120.00°
Last column: nearest neighbours and their distance in Å.
Space group R-3m (No. 166, hexagonal axes)
One atom of each set of equivalent atoms:
Sn 0.0000 0.0000 0.0000  6 Se 2.74
Hg 0.0000 0.0000 0.5000  6 Hg 3.85, 2 Se 3.92
Se 0.0000 0.0000 0.3818  3 Sn 2.74

Output
The value obtained for the total energy is -3.06 eV/atom.


Sn2HgSe4: optimized geometry, GGA-PBE.

Cell: 4.0219 13.1306 13.9221 Å, 90.00 90.00 90.00°
Last column: nearest neighbours and their distance in Å.
Space group Cmcm (No. 63)
One atom of each set of equivalent atoms:
Sn 0.0000 0.1373 0.0640  6 Se 2.79-2.89
Hg 0.0000 0.4048 0.2500  2 Se 2.73
Se 0.0000 0.0457 0.2500  2 Hg 2.73, 2 Sn 2.86
Se 0.0000 0.2298 0.6244  3 Sn 2.79-2.89
Se 0.0000 0.5000 0.0000  4 Sn 2.84

Output
The value obtained for the total energy is -3.42 eV/atom.


Sn4HgSe8: optimized geometry, GGA-PBE.

Cell: 11.4630 11.4630 11.4630 Å, 90.00 90.00 90.00°
Last column: nearest neighbours and their distance in Å.
Space group F-43m (No. 216)
One atom of each set of equivalent atoms:
Sn 0.1177 0.1177 0.1177  6 Se 2.78-2.85
Hg 0.0000 0.0000 0.5000  4 Se 2.68
Se 0.1242 0.1242 0.8758  3 Sn 2.78
Se 0.1348 0.1348 0.3652  1 Hg 2.68, 3 Sn 2.85

Output
The energy above the most stable polymorph in this dataset is 25 meV per atom. The value obtained for the total energy is -3.69 eV/atom.


Sn3Hg2Se8: optimized geometry, GGA-PBE.

Cell: 13.7600 7.9825 6.8961 Å, 90.00 91.62 90.00°
Last column: nearest neighbours and their distance in Å.
Space group C2/m (No. 12)
One atom of each set of equivalent atoms:
Sn 0.0000 0.0000 0.0000  6 Se 2.74-2.75
Sn 0.0000 0.2488 0.5000  6 Se 2.76-2.79
Hg 0.1189 0.5000 0.0118  3 Se 2.60
Se 0.1127 0.0000 0.3333  3 Sn 2.74-2.79
Se 0.1230 0.2189 0.8206  1 Hg 2.60, 2 Sn 2.75-2.76
Se 0.1240 0.5000 0.3893  1 Hg 2.60, 2 Sn 2.76

Output
The value obtained for the total energy is -3.38 eV/atom.


SnHg2Se: optimized geometry, GGA-PBE.

Cell: 6.8251 6.8251 11.3573 Å, 90.00 90.00 90.00°
Last column: nearest neighbours and their distance in Å.
Space group I-42d (No. 122)
One atom of each set of equivalent atoms:
Sn 0.0000 0.0000 0.0000  4 Hg 2.85
Hg 0.2385 0.2500 0.6250  2 Se 2.75, 2 Sn 2.85
Se 0.0000 0.0000 0.5000  4 Hg 2.75

Output
The value obtained for the total energy is -1.96 eV/atom.


SnHgSe2: optimized geometry, GGA-PBE.

Cell: 6.6384 3.9528 21.0539 Å, 90.00 90.00 90.00°
Last column: nearest neighbours and their distance in Å.
Space group Pnma (No. 62)
One atom of each set of equivalent atoms:
Sn 0.1843 0.2500 0.1958  4 Se 2.57-2.59
Hg 0.2118 0.2500 0.9804  4 Hg 3.54-3.95, 3 Se 3.76-3.87
Se 0.1813 0.2500 0.6287  2 Sn 2.59
Se 0.2040 0.7500 0.8125  2 Sn 2.57-2.58

Output
The value obtained for the total energy is -3.02 eV/atom.


Sn5HgSe6: optimized geometry, GGA-PBE.

Cell: 7.3498 12.7373 7.3787 Å, 90.00 109.35 90.00°
Last column: nearest neighbours and their distance in Å.
Space group C2/m (No. 12)
One atom of each set of equivalent atoms:
Sn 0.0000 0.0000 0.0000  6 Se 3.00
Sn 0.0000 0.1664 0.5000  6 Se 3.00-3.02
Sn 0.0000 0.3322 0.0000  6 Se 2.99-3.02
Hg 0.0000 0.5000 0.5000  6 Se 3.00-3.02
Se 0.2489 0.0000 0.7488  5 Sn 3.00-3.02, 1 Hg 3.00
Se 0.2487 0.1668 0.2484  5 Sn 2.99-3.02, 1 Hg 3.02

Output
The value obtained for the total energy is -3.80 eV/atom.


SnHgSe3: optimized geometry, GGA-PBE.

Cell: 9.7279 3.9417 14.9481 Å, 90.00 90.00 90.00°
Last column: nearest neighbours and their distance in Å.
Space group Pnma (No. 62)
One atom of each set of equivalent atoms:
Sn 0.1641 0.2500 0.0395  6 Se 2.70-2.88
Hg 0.0165 0.2500 0.6114  5 Se 2.70-3.00
Se 0.0051 0.7500 0.1116  3 Sn 2.73-2.80
Se 0.1700 0.7500 0.6840  1 Sn 2.70, 2 Hg 2.70
Se 0.1808 0.2500 0.4418  3 Hg 2.86-3.00, 2 Sn 2.88

Output
The energy above the most stable polymorph in this dataset is 58 meV per atom. The value obtained for the total energy is -3.12 eV/atom.


SnHgSe2: optimized geometry, GGA-PBE.

Cell: 6.5474 6.5474 12.9452 Å, 90.00 90.00 90.00°
Last column: nearest neighbours and their distance in Å.
Space group I-42d (No. 122)
One atom of each set of equivalent atoms:
Sn 0.0000 0.0000 0.0000  4 Se 2.92
Hg 0.0000 0.0000 0.5000  4 Se 2.74
Se 0.2258 0.2500 0.6250  2 Hg 2.74, 2 Sn 2.92

Output
The value obtained for the total energy is -3.00 eV/atom.


SnHg2Se: optimized geometry, GGA-PBE.

Cell: 3.2703 3.2703 33.2728 Å, 90.00 90.00 120.00°
Last column: nearest neighbours and their distance in Å.
Space group R-3m (No. 166, hexagonal axes)
One atom of each set of equivalent atoms:
Sn 0.0000 0.0000 0.0000  2 Hg 2.98, 6 Sn 3.27
Hg 0.0000 0.0000 0.0895  1 Sn 2.98, 3 Se 3.19, 6 Hg 3.27
Se 0.0000 0.0000 0.5000  6 Hg 3.19, 6 Se 3.27

Output
The value obtained for the total energy is -1.86 eV/atom.


SnHg2Se: optimized geometry, GGA-PBE.

Cell: 4.2843 4.2308 13.3228 Å, 90.00 90.82 90.00°
Last column: nearest neighbours and their distance in Å.
Space group P2_1/m (No. 11)
One atom of each set of equivalent atoms:
Sn 0.2475 0.2500 0.3876  5 Se 2.76-3.03
Hg 0.2366 0.7500 0.1811  5 Hg 3.31-3.44, 2 Sn 3.47, 2 Se 3.67-3.68
Hg 0.2655 0.7500 0.9232  7 Hg 3.31-3.55
Se 0.2542 0.2500 0.5949  5 Sn 2.76-3.03

Output
The value obtained for the total energy is -2.22 eV/atom.


SnHg3Se: optimized geometry, GGA-PBE.

Cell: 5.5526 5.5526 5.5526 Å, 90.00 90.00 90.00°
Last column: nearest neighbours and their distance in Å.
Space group Pm-3m (No. 221)
One atom of each set of equivalent atoms:
Sn 0.0000 0.0000 0.0000  6 Hg 2.78
Hg 0.0000 0.0000 0.5000  2 Sn 2.78
Se 0.5000 0.5000 0.5000  12 Hg 3.93

Output
The energy above the most stable polymorph in this dataset is 0 meV per atom. The value obtained for the total energy is -1.34 eV/atom.


SnHgSe2: optimized geometry, GGA-PBE.

Cell: 4.0703 4.0703 25.3485 Å, 90.00 90.00 120.00°
Last column: nearest neighbours and their distance in Å.
Space group R-3m (No. 166, hexagonal axes)
One atom of each set of equivalent atoms:
Sn 0.0000 0.0000 0.0000  2 Se 2.68
Hg 0.0000 0.0000 0.5000  6 Se 2.81
Se 0.0000 0.0000 0.1056  1 Sn 2.68, 3 Hg 2.81

Output
The value obtained for the total energy is -2.66 eV/atom.


SnHgSe3: optimized geometry, GGA-PBE.

Cell: 5.3234 5.3234 5.3234 Å, 90.00 90.00 90.00°
Last column: nearest neighbours and their distance in Å.
Space group Pm-3m (No. 221)
One atom of each set of equivalent atoms:
Sn 0.0000 0.0000 0.0000  6 Se 2.66
Hg 0.5000 0.5000 0.5000  12 Se 3.76
Se 0.0000 0.0000 0.5000  2 Sn 2.66

Output
The energy above the most stable polymorph in this dataset is 551 meV per atom. The value obtained for the total energy is -2.62 eV/atom.


SrSn2HgSe6: optimized geometry, GGA-PBE.

Cell: 14.2369 13.2840 7.5679 Å, 90.00 111.19 90.00°
Last column: nearest neighbours and their distance in Å.
Space group C2/c (No. 15)
One atom of each set of equivalent atoms:
Sr 0.0000 0.1228 0.2500  6 Se 3.08-3.20
Sn 0.1991 0.4295 0.2203  4 Se 2.53-2.61
Hg 0.0000 0.2620 0.7500  2 Se 2.55
Se 0.1109 0.0697 0.6702  1 Sn 2.53
Se 0.1200 0.4274 0.4823  2 Sn 2.58-2.61
Se 0.1361 0.2528 0.0793  1 Hg 2.55, 1 Sn 2.60

Output
The value obtained for the total energy is -3.69 eV/atom.


SrSn2HgSe4: optimized geometry, GGA-PBE.

Cell: 7.4215 4.2778 7.5648 Å, 90.00 110.57 90.00°
Last column: nearest neighbours and their distance in Å.
Space group P2/m (No. 10)
One atom of each set of equivalent atoms:
Sr 0.0000 0.0000 0.0000  6 Se 3.05-3.11
Sn 0.0000 0.5000 0.5000  6 Se 2.98-3.03
Sn 0.5000 0.0000 0.5000  6 Se 2.99-3.05
Hg 0.5000 0.5000 0.0000  6 Se 3.01-3.18
Se 0.2466 0.5000 0.2626  3 Sn 2.98-2.99, 2 Sr 3.05, 1 Hg 3.18
Se 0.2548 0.0000 0.7492  2 Hg 3.01, 3 Sn 3.03-3.05, 1 Sr 3.11

Output
The value obtained for the total energy is -3.70 eV/atom.


Sr2SnHgSe4: optimized geometry, GGA-PBE.

Cell: 7.5405 4.3340 7.6470 Å, 90.00 111.14 90.00°
Last column: nearest neighbours and their distance in Å.
Space group P2/m (No. 10)
One atom of each set of equivalent atoms:
Sr 0.0000 0.0000 0.0000  6 Se 3.07-3.18
Sr 0.0000 0.5000 0.5000  6 Se 3.08-3.18
Sn 0.5000 0.0000 0.5000  6 Se 3.03-3.10
Hg 0.5000 0.5000 0.0000  6 Se 2.93-3.18
Se 0.2491 0.5000 0.2573  2 Sn 3.03, 3 Sr 3.07-3.08, 1 Hg 3.18
Se 0.2741 0.0000 0.7671  2 Hg 2.93, 1 Sn 3.10, 3 Sr 3.18

Output
The value obtained for the total energy is -3.78 eV/atom.


SnHg2TeSe2: optimized geometry, GGA-PBE.

Cell: 16.1181 6.8408 6.8813 Å, 90.00 90.00 90.00°
Last column: nearest neighbours and their distance in Å.
Space group Cmc2_1 (No. 36)
One atom of each set of equivalent atoms:
Sn 0.0000 0.2222 0.0000  2 Se 2.91, 2 Te 3.01-3.05
Hg 0.1663 0.3606 0.4229  3 Se 2.68-2.78
Te 0.0000 0.2140 0.5563  2 Hg 3.01, 2 Sn 3.01-3.05
Se 0.1785 0.2677 0.0460  3 Hg 2.68-2.78, 1 Sn 2.91

Output
The value obtained for the total energy is -2.62 eV/atom.


Ti2SnHgSe: optimized geometry, GGA-PBE.

Cell: 5.2967 5.2967 5.2389 Å, 90.00 90.00 90.00°
Last column: nearest neighbours and their distance in Å.
Space group P4/mmm (No. 123)
One atom of each set of equivalent atoms:
Ti 0.0000 0.5000 0.0000  2 Sn 2.65
Sn 0.0000 0.0000 0.0000  2 Hg 2.62, 4 Ti 2.65
Hg 0.0000 0.0000 0.5000  2 Sn 2.62
Se 0.5000 0.5000 0.5000  8 Ti 3.72, 4 Hg 3.75

Output
The value obtained for the total energy is -3.92 eV/atom.


Tl2Sn3HgSe8: optimized geometry, GGA-PBE.

Cell: 8.3764 8.3764 21.0220 Å, 90.00 90.00 120.00°
Last column: nearest neighbours and their distance in Å.
Space group R3m (No. 160, hexagonal axes)
One atom of each set of equivalent atoms:
Tl 0.0000 0.0000 0.0000  6 Se 2.96
Tl 0.0000 0.0000 0.3687  4 Se 2.80-2.81
Sn 0.0051 0.5026 0.4970  6 Se 2.84-2.89
Hg 0.0000 0.0000 0.6178  4 Se 2.72-2.83
Se 0.0000 0.0000 0.2352  1 Tl 2.81, 3 Sn 2.88
Se 0.0000 0.0000 0.7525  1 Hg 2.83, 3 Sn 2.89
Se 0.0184 0.5092 0.7565  2 Tl 2.80-2.96, 2 Sn 2.84
Se 0.1773 0.3546 0.5762  1 Hg 2.72, 2 Sn 2.86, 1 Tl 2.96

Output
The value obtained for the total energy is -3.43 eV/atom.


TlSn2HgSe6: optimized geometry, GGA-PBE.

Cell: 14.1171 13.2728 7.4817 Å, 90.00 110.99 90.00°
Last column: nearest neighbours and their distance in Å.
Space group C2/c (No. 15)
One atom of each set of equivalent atoms:
Tl 0.0000 0.1256 0.2500  6 Se 2.98-3.16
Sn 0.1999 0.4268 0.2205  4 Se 2.54-2.61
Hg 0.0000 0.2543 0.7500  2 Se 2.56
Se 0.1075 0.0658 0.6563  1 Sn 2.54
Se 0.1192 0.4286 0.4842  2 Sn 2.58-2.61
Se 0.1384 0.2480 0.0829  1 Hg 2.56, 1 Sn 2.61

Output
The value obtained for the total energy is -3.38 eV/atom.


Y2SnHgSe: optimized geometry, GGA-PBE.

Cell: 5.7465 5.7465 5.4527 Å, 90.00 90.00 90.00°
Last column: nearest neighbours and their distance in Å.
Space group P4/mmm (No. 123)
One atom of each set of equivalent atoms:
Y 0.0000 0.5000 0.0000  2 Sn 2.87
Sn 0.0000 0.0000 0.0000  2 Se 2.73, 4 Y 2.87
Hg 0.5000 0.5000 0.5000  8 Y 3.96, 4 Se 4.06
Se 0.0000 0.0000 0.5000  2 Sn 2.73

Output
The value obtained for the total energy is -4.01 eV/atom.


no.,mass density (g/cm3),calculated volume (Å³/atom),formation energy from raw total energies (kJ per mole of atoms)
1,5.587,35.5,-23
2,6.810,26.3,-23
3,5.764,29.0,-29
4,6.092,29.1,-26
5,7.518,33.1,6
6,5.738,34.5,-19
7,6.461,27.2,-35
8,6.445,28.7,-16
9,5.712,34.7,-18
10,9.680,25.7,15
11,8.237,30.2,-19
12,7.754,34.2,33
13,6.537,30.3,15
14,6.122,30.2,32
15,4.974,33.4,-58
16,6.214,28.1,-68
17,5.773,29.1,-104
18,7.051,31.6,-16
19,5.581,29.4,77
20,6.229,30.4,-22
21,5.664,32.7,-22
22,5.313,36.0,13